{
  "formula": "Zr4GaFeN2",
  "functional": "PBE-GGA",
  "state": "relaxed",
  "lattice": [[3.2386, 0.0000, 0.0000], [-1.6193, 2.8047, 0.0000], [0.0000, 0.0000, 13.6754]],
  "species": ["Zr", "Zr", "Zr", "Zr", "Ga", "N", "N", "Fe"],
  "frac_coords": [[0.0000, 0.0000, 0.6640], [0.0000, 0.0000, 0.3360], [0.6667, 0.3333, 0.8569], [0.6667, 0.3333, 0.1431], [0.6667, 0.3333, 0.5000], [0.3333, 0.6667, 0.7577], [0.3333, 0.6667, 0.2423], [0.0000, 0.0000, 0.0000]],
  "final_energy_ev_per_atom": -8.688,
  "total_magnetization_mub_per_atom": 0.12
}